Below is a relaxed MgSiTc2 crystal, with properties calculated at the PBEsol level.

CIF file:
```
data_MgSiTc2
_symmetry_space_group_name_H-M 'C m m m'
_symmetry_Int_Tables_number 65
_symmetry_space_group_name_Hall '-C 2 2'
_cell_length_a 5.936
_cell_length_b 5.950
_cell_length_c 3.108
_cell_angle_alpha 90.00
_cell_angle_beta 90.00
_cell_angle_gamma 90.00
loop_
_atom_site_label
_atom_site_type_symbol
_atom_site_fract_x
_atom_site_fract_y
_atom_site_fract_z
Mg1 Mg 0.000 0.000 0.000
Si1 Si 0.000 0.500 0.000
Tc1 Tc 0.250 0.250 0.500
```

## Properties
For the total magnetization, the calculation gives 0.00 μB/f.u. The value obtained for the total DFT energy (no corrections) is -7.42 eV per atom. The value obtained for the formation energy without anion corrections is 0.076 eV per atom.



Below is a relaxed MgAlTe2 crystal, with properties calculated at the PBEsol level.

CIF file:
```
data_MgAlTe2
_symmetry_space_group_name_H-M 'R -3 m'
_symmetry_Int_Tables_number 166
_symmetry_space_group_name_Hall '-R 3 2"'
_cell_length_a 3.5578
_cell_length_b 3.5578
_cell_length_c 29.5510
_cell_angle_alpha 90.00
_cell_angle_beta 90.00
_cell_angle_gamma 120.00
loop_
_atom_site_label
_atom_site_type_symbol
_atom_site_fract_x
_atom_site_fract_y
_atom_site_fract_z
Mg1 Mg 0.0000 0.0000 0.0000
Al1 Al 0.0000 0.0000 0.5000
Te1 Te 0.0000 0.0000 0.4009
```

## Properties
For the total magnetization, the calculation gives 0.00 μB/f.u. The value obtained for the total DFT energy (no corrections) is -3.18 eV per atom. The value obtained for the formation energy without anion corrections is 0.031 eV per atom.